No. 1
! PBE BeAlN2O, relaxed; values from VASP
! * total energy: -0.391 Ry/atom
! * N(E_F): 0.523 states/eV per atom
! * total magnetization: 0.44 μB per atom
&SYSTEM
  ibrav = 0, nat = 5, ntyp = 4
/
ATOMIC_SPECIES
Be 9.01 Be.upf
O 16.00 O.upf
N 14.01 N.upf
Al 26.98 Al.upf
ATOMIC_POSITIONS angstrom
Be -3.010 -1.059 -0.408
O -0.624 -1.562 0.659
N -1.563 0.871 0.585
N -0.824 -0.368 -1.652
Al 0.000 0.000 0.000
CELL_PARAMETERS angstrom
-3.125 1.742 1.170
-1.647 -0.736 -3.304
-1.248 -3.124 1.318



No. 2
! PBE BeAlNO2, relaxed; values from VASP
! * total energy: -0.405 Ry/atom
! * N(E_F): 0.286 states/eV per atom
! * total magnetization: 0.38 μB per atom
&SYSTEM
  ibrav = 0, nat = 5, ntyp = 4
/
ATOMIC_SPECIES
O 16.00 O.upf
N 14.01 N.upf
Al 26.98 Al.upf
Be 9.01 Be.upf
ATOMIC_POSITIONS angstrom
O 0.000 1.813 0.000
O 1.813 0.000 0.000
N 0.000 0.000 1.894
Al 0.000 0.000 0.000
Be 1.813 1.813 1.894
CELL_PARAMETERS angstrom
3.626 0.000 0.000
0.000 3.626 0.000
0.000 0.000 3.788



No. 3
! PBE BeAl2PN, relaxed; values from VASP
! * total energy: -0.376 Ry/atom
! * N(E_F): 0.336 states/eV per atom
! * total magnetization: 0.00 μB per atom
&SYSTEM
  ibrav = 0, nat = 5, ntyp = 4
/
ATOMIC_SPECIES
Al 26.98 Al.upf
Be 9.01 Be.upf
P 30.97 P.upf
N 14.01 N.upf
ATOMIC_POSITIONS angstrom
Al 2.148 0.000 0.000
Al 0.000 0.000 2.148
Be 0.000 1.629 0.000
P 2.148 1.629 2.148
N 0.000 0.000 0.000
CELL_PARAMETERS angstrom
4.297 0.000 0.000
0.000 3.257 0.000
0.000 0.000 4.297



No. 4
! PBE Be2AlPbN, relaxed; values from VASP
! * total energy: -0.194 Ry/atom
! * N(E_F): 0.476 states/eV per atom
! * total magnetization: 0.29 μB per atom
&SYSTEM
  ibrav = 0, nat = 5, ntyp = 4
/
ATOMIC_SPECIES
Pb 207.20 Pb.upf
N 14.01 N.upf
Al 26.98 Al.upf
Be 9.01 Be.upf
ATOMIC_POSITIONS angstrom
Pb 0.000 0.000 0.000
N 2.254 2.926 2.254
Al 0.000 2.926 0.000
Be 2.254 0.000 0.000
Be 0.000 0.000 2.254
CELL_PARAMETERS angstrom
4.508 0.000 0.000
0.000 5.853 0.000
0.000 0.000 4.508



No. 5
! PBE BeAlPbN2, relaxed; values from VASP
! * total energy: -0.248 Ry/atom
! * N(E_F): 0.427 states/eV per atom
! * total magnetization: 0.26 μB per atom
&SYSTEM
  ibrav = 0, nat = 5, ntyp = 4
/
ATOMIC_SPECIES
Be 9.01 Be.upf
N 14.01 N.upf
Al 26.98 Al.upf
Pb 207.20 Pb.upf
ATOMIC_POSITIONS angstrom
Be 2.139 2.967 2.139
N 2.139 0.000 0.000
N 0.000 0.000 2.139
Al 0.000 2.967 0.000
Pb 0.000 0.000 0.000
CELL_PARAMETERS angstrom
4.278 0.000 0.000
0.000 5.934 0.000
0.000 0.000 4.278



No. 6
! PBE BeAlS2N, relaxed; values from VASP
! * total energy: -0.310 Ry/atom
! * polymorph energy (0 for the lowest one): 4.71 kcal/mol of atoms
! * N(E_F): 0.269 states/eV per atom
! * total magnetization: 0.40 μB per atom
&SYSTEM
  ibrav = 0, nat = 5, ntyp = 4
/
ATOMIC_SPECIES
S 32.06 S.upf
Be 9.01 Be.upf
N 14.01 N.upf
Al 26.98 Al.upf
ATOMIC_POSITIONS angstrom
S 2.355 0.000 0.000
S 0.000 2.355 0.000
Be 2.355 2.355 1.815
N 0.000 0.000 1.815
Al 0.000 0.000 0.000
CELL_PARAMETERS angstrom
4.710 0.000 0.000
0.000 4.710 0.000
0.000 0.000 3.630



> total magnetization of number 3 (BeAl2PN)?

0.00 μB per atom



Please write out number 1 again, unchanged.
! PBE BeAlN2O, relaxed; values from VASP
! * total energy: -0.391 Ry/atom
! * N(E_F): 0.523 states/eV per atom
! * total magnetization: 0.44 μB per atom
&SYSTEM
  ibrav = 0, nat = 5, ntyp = 4
/
ATOMIC_SPECIES
Be 9.01 Be.upf
O 16.00 O.upf
N 14.01 N.upf
Al 26.98 Al.upf
ATOMIC_POSITIONS angstrom
Be -3.010 -1.059 -0.408
O -0.624 -1.562 0.659
N -1.563 0.871 0.585
N -0.824 -0.368 -1.652
Al 0.000 0.000 0.000
CELL_PARAMETERS angstrom
-3.125 1.742 1.170
-1.647 -0.736 -3.304
-1.248 -3.124 1.318



> The highest N(E_F) belongs to which entry?

BeAlN2O